[1]
Here is crystalline VPt4Rh5 at its relaxed geometry from the Alexandria database. Energies are from PBE.

a b c (Å): 13.0227 2.7811 8.7455
angles (deg): 90.00 98.12 90.00
Last column: nearest neighbours and their distance in Å.
Space group C2/m (No. 12)
Unique sites:
1 V 0.0000 0.0000 0.0000 (multiplicity 2)  4 Pt 2.48, 4 Rh 2.49
2 Pt 0.0084 0.5000 0.2364 (multiplicity 4)  2 V 2.48, 3 Rh 2.60-2.71
3 Pt 0.1851 0.0000 0.7363 (multiplicity 4)  7 Rh 2.70-2.94, 4 Pt 2.78-2.92
4 Rh 0.0000 0.0000 0.5000 (multiplicity 2)  6 Rh 2.67-2.78, 6 Pt 2.71-2.94
5 Rh 0.1599 0.5000 0.0206 (multiplicity 4)  2 V 2.49, 1 Pt 2.72, 2 Rh 2.78
6 Rh 0.1675 0.5000 0.4520 (multiplicity 4)  4 Pt 2.60-2.83, 6 Rh 2.60-2.78

---

[2]
Here is crystalline FeCo2Si at its relaxed geometry from the Alexandria database. Energies are from PBE.

a b c (Å): 2.8476 3.9014 7.9654
angles (deg): 90.00 90.00 90.00
Last column: nearest neighbours and their distance in Å.
Space group Imm2 (No. 44)
Unique sites:
1 Fe 0.0000 0.0000 0.0000 (multiplicity 2)  6 Co 2.42-2.47, 2 Si 2.42
2 Co 0.0000 0.0000 0.4826 (multiplicity 2)  2 Si 2.36, 4 Fe 2.42, 2 Co 2.54
3 Co 0.0000 0.5000 0.2462 (multiplicity 2)  4 Si 2.42, 2 Fe 2.47, 2 Co 2.54
4 Si 0.0000 0.5000 0.7462 (multiplicity 2)  6 Co 2.36-2.42, 2 Fe 2.42

---

[3]
Here is crystalline TeOs2Cl at its relaxed geometry from the Alexandria database. Energies are from PBE.

a b c (Å): 4.5698 4.5698 3.2182
angles (deg): 90.00 90.00 90.00
Last column: nearest neighbours and their distance in Å.
Space group P4/mmm (No. 123)
Unique sites:
1 Te 0.0000 0.0000 0.0000 (multiplicity 1)  8 Os 2.79
2 Os 0.0000 0.5000 0.5000 (multiplicity 2)  4 Cl 2.79, 4 Te 2.79
3 Cl 0.5000 0.5000 0.0000 (multiplicity 1)  8 Os 2.79

- polymorph energy (0 for the lowest one) (eV per formula unit) = 4.60

---

[4]
Here is crystalline IrSN2O at its relaxed geometry from the Alexandria database. Energies are from PBE.

a b c (Å): 3.6715 3.6715 5.2051
angles (deg): 90.00 90.00 90.00
Last column: nearest neighbours and their distance in Å.
Space group P4/mmm (No. 123)
Unique sites:
1 Ir 0.0000 0.0000 0.0000 (multiplicity 1)  4 N 1.84
2 S 0.0000 0.0000 0.5000 (multiplicity 1)  4 O 2.60, 2 Ir 2.60
3 N 0.0000 0.5000 0.0000 (multiplicity 2)  2 Ir 1.84
4 O 0.5000 0.5000 0.5000 (multiplicity 1)  4 S 2.60

---

[5]
Here is crystalline Hf3MoSe at its relaxed geometry from the Alexandria database. Energies are from PBE.

a b c (Å): 4.8530 4.8530 4.8530
angles (deg): 90.00 90.00 90.00
Last column: nearest neighbours and their distance in Å.
Space group Pm-3m (No. 221)
Unique sites:
1 Hf 0.0000 0.0000 0.5000 (multiplicity 3)  2 Se 2.43
2 Mo 0.5000 0.5000 0.5000 (multiplicity 1)  12 Hf 3.43
3 Se 0.0000 0.0000 0.0000 (multiplicity 1)  6 Hf 2.43

- polymorph energy (0 for the lowest one) (eV per formula unit) = 0.00

---

[6]
Here is crystalline BaOs2 at its relaxed geometry from the Alexandria database. Energies are from PBE.

a b c (Å): 2.9330 22.9915 4.2931
angles (deg): 90.00 90.00 90.00
Last column: nearest neighbours and their distance in Å.
Space group Cmcm (No. 63)
Unique sites:
1 Ba 0.0000 0.1679 0.2500 (multiplicity 4)  2 Ba 2.93, 2 Os 3.22
2 Os 0.0000 0.0634 0.7500 (multiplicity 4)  8 Os 2.68-2.93
3 Os 0.0000 0.4653 0.7500 (multiplicity 4)  10 Os 2.68-2.93

- polymorph energy (0 for the lowest one) (eV per formula unit) = 0.76

---

[7]
Here is crystalline LaHo3Au2 at its relaxed geometry from the Alexandria database. Energies are from PBE.

a b c (Å): 4.9901 9.0338 7.2245
angles (deg): 90.00 90.00 90.00
Last column: nearest neighbours and their distance in Å.
Space group Pmc2_1 (No. 26)
Unique sites:
1 La 0.0000 0.0755 0.0000 (multiplicity 2)  3 Au 3.07-3.21
2 Ho 0.0000 0.3349 0.6382 (multiplicity 2)  4 Au 2.88-3.04
3 Ho 0.5000 0.1736 0.3402 (multiplicity 2)  4 Au 2.89-3.10
4 Ho 0.5000 0.4304 0.9765 (multiplicity 2)  3 Au 2.98-3.21
5 Au 0.0000 0.3551 0.2403 (multiplicity 2)  6 Ho 2.88-3.21, 1 La 3.07
6 Au 0.5000 0.1605 0.7405 (multiplicity 2)  5 Ho 2.89-3.10, 2 La 3.21

---

[8]
Here is crystalline Mg3Se4 at its relaxed geometry from the Alexandria database. Energies are from PBE.

a b c (Å): 3.7466 3.7466 26.0955
angles (deg): 90.00 90.00 90.00
Last column: nearest neighbours and their distance in Å.
Space group I4/mmm (No. 139)
Unique sites:
1 Mg 0.0000 0.0000 0.0000 (multiplicity 2)  8 Se 2.92
2 Mg 0.0000 0.0000 0.2930 (multiplicity 4)  5 Se 2.69
3 Se 0.0000 0.0000 0.1897 (multiplicity 4)  5 Mg 2.69
4 Se 0.0000 0.0000 0.4527 (multiplicity 4)  1 Se 2.47

- polymorph energy (0 for the lowest one) (eV per formula unit) = 0.00

---

[9]
Here is crystalline Na2ZrCl6 at its relaxed geometry from the Alexandria database. Energies are from PBE.

a b c (Å): 6.4448 6.4448 12.1538
angles (deg): 90.00 90.00 90.00
Last column: nearest neighbours and their distance in Å.
Space group P4_2/mnm (No. 136)
Unique sites:
1 Na 0.0000 0.0000 0.1655 (multiplicity 4)  6 Cl 2.84-2.87
2 Zr 0.0000 0.0000 0.5000 (multiplicity 2)  6 Cl 2.49-2.50
3 Cl 0.1890 0.1890 0.3516 (multiplicity 8)  1 Zr 2.49
4 Cl 0.2254 0.2254 0.0000 (multiplicity 4)  1 Zr 2.50

- polymorph energy (0 for the lowest one) (eV per formula unit) = 0.10

---

[10]
Here is crystalline RbTlS2 at its relaxed geometry from the Alexandria database. Energies are from PBE.

a b c (Å): 6.1669 6.5783 7.8223
angles (deg): 76.77 73.65 88.65
Last column: nearest neighbours and their distance in Å.
Space group P1 (No. 1)
Unique sites:
1 Rb 0.0000 0.0000 0.0000 (multiplicity 1)  6 S 3.31-3.39
2 Rb 0.4923 0.4247 0.2320 (multiplicity 1)  5 S 3.32-3.58
3 Tl 0.0703 0.8754 0.5219 (multiplicity 1)  4 S 2.97-3.28
4 Tl 0.5311 0.5283 0.7074 (multiplicity 1)  3 S 2.93-3.06
5 S 0.0360 0.5223 0.9020 (multiplicity 1)  1 S 2.11
6 S 0.0989 0.4188 0.6567 (multiplicity 1)  1 S 2.11
7 S 0.4393 0.9372 0.1700 (multiplicity 1)  1 S 2.12
8 S 0.5768 0.9152 0.3929 (multiplicity 1)  1 S 2.12

- polymorph energy (0 for the lowest one) (eV per formula unit) = 0.29

---

[11]
Here is crystalline NaRePd at its relaxed geometry from the Alexandria database. Energies are from PBE.

a b c (Å): 6.0887 6.0887 6.0887
angles (deg): 90.00 90.00 90.00
Last column: nearest neighbours and their distance in Å.
Space group F-43m (No. 216)
Unique sites:
1 Na 0.0000 0.0000 0.0000 (multiplicity 4)  4 Pd 2.64
2 Re 0.0000 0.0000 0.5000 (multiplicity 4)  4 Pd 2.64
3 Pd 0.2500 0.2500 0.7500 (multiplicity 4)  4 Na 2.64, 4 Re 2.64

- polymorph energy (0 for the lowest one) (eV per formula unit) = 2.98

---

[12]
Here is crystalline Rb2FeNCl6 at its relaxed geometry from the Alexandria database. Energies are from PBE.

a b c (Å): 7.6433 7.6433 9.0939
angles (deg): 90.00 90.00 90.00
Last column: nearest neighbours and their distance in Å.
Space group I4/mmm (No. 139)
Unique sites:
1 Rb 0.0000 0.5000 0.2500 (multiplicity 4)  12 Cl 3.56-3.83
2 Fe 0.0000 0.0000 0.0000 (multiplicity 2)  6 Cl 2.26-2.52
3 N 0.0000 0.0000 0.5000 (multiplicity 2)  2 Cl 2.02
4 Cl 0.0000 0.0000 0.2774 (multiplicity 4)  1 N 2.02
5 Cl 0.2087 0.2087 0.0000 (multiplicity 8)  1 Fe 2.26

---

[13]
Here is crystalline KLa2Mo at its relaxed geometry from the Alexandria database. Energies are from PBE.

a b c (Å): 3.6196 3.6272 10.8874
angles (deg): 90.00 92.10 90.00
Last column: nearest neighbours and their distance in Å.
Space group P2/m (No. 10)
Unique sites:
1 K 0.0000 0.0000 0.0000 (multiplicity 1)  4 K 3.62-3.63
2 La 0.4672 0.5000 0.6620 (multiplicity 2)  4 Mo 3.01-3.22
3 Mo 0.0000 0.0000 0.5000 (multiplicity 1)  8 La 3.01-3.22

- polymorph energy (0 for the lowest one) (eV per formula unit) = 0.04

---

[14]
Here is crystalline Ac6Ni2CI3 at its relaxed geometry from the Alexandria database. Energies are from PBE.

a b c (Å): 7.3852 12.8575 8.8151
angles (deg): 90.00 106.20 90.00
Last column: nearest neighbours and their distance in Å.
Space group C2/m (No. 12)
Unique sites:
1 Ac 0.2185 0.1569 0.1800 (multiplicity 8)  1 C 2.79, 2 Ni 2.95-2.97
2 Ac 0.2476 0.5000 0.1824 (multiplicity 4)  1 C 2.78, 2 Ni 2.98
3 Ni 0.0000 0.3335 0.0000 (multiplicity 4)  6 Ac 2.95-2.98
4 C 0.0000 0.0000 0.0000 (multiplicity 2)  6 Ac 2.78-2.79
5 I 0.0000 0.1699 0.5000 (multiplicity 4)  6 Ac 3.62-3.74
6 I 0.0000 0.5000 0.5000 (multiplicity 2)  6 Ac 3.62-3.75

---

[15]
Here is crystalline RbBeS2N at its relaxed geometry from the Alexandria database. Energies are from PBE.

a b c (Å): 6.2213 6.2213 5.5792
angles (deg): 90.00 90.00 90.00
Last column: nearest neighbours and their distance in Å.
Space group P4/mmm (No. 123)
Unique sites:
1 Rb 0.0000 0.0000 0.0000 (multiplicity 1)  2 N 2.79, 4 S 3.11
2 Be 0.5000 0.5000 0.5000 (multiplicity 1)  8 S 4.18, 4 N 4.40
3 S 0.0000 0.5000 0.0000 (multiplicity 2)  2 Rb 3.11
4 N 0.0000 0.0000 0.5000 (multiplicity 1)  2 Rb 2.79

- polymorph energy (0 for the lowest one) (eV per formula unit) = 9.24

---

[16]
Here is crystalline Sm2Zn2Cu5Pd at its relaxed geometry from the Alexandria database. Energies are from PBE.

a b c (Å): 9.7805 9.7805 3.5588
angles (deg): 90.00 90.00 90.00
Last column: nearest neighbours and their distance in Å.
Space group P4/mbm (No. 127)
Unique sites:
1 Sm 0.1793 0.3207 0.0000 (multiplicity 4)  3 Zn 2.79-2.98, 6 Cu 3.05-3.11
2 Zn 0.1190 0.6190 0.0000 (multiplicity 4)  6 Cu 2.42-2.64
3 Cu 0.0000 0.5000 0.5000 (multiplicity 2)  4 Zn 2.42
4 Cu 0.0492 0.8058 0.5000 (multiplicity 8)  2 Zn 2.64, 2 Pd 2.65, 2 Cu 2.77
5 Pd 0.0000 0.0000 0.0000 (multiplicity 2)  8 Cu 2.65

---

[17]
Here is crystalline K2CuSb at its relaxed geometry from the Alexandria database. Energies are from PBE.

a b c (Å): 5.6510 4.7396 6.2624
angles (deg): 90.00 116.79 90.00
Last column: nearest neighbours and their distance in Å.
Space group Pm (No. 6)
Unique sites:
1 K 0.0000 0.0000 0.0000 (multiplicity 1)  3 Sb 3.50-3.52, 2 Cu 3.92
2 K 0.2998 0.5000 0.5980 (multiplicity 1)  3 Cu 3.46-3.59
3 Cu 0.6217 0.5000 0.2400 (multiplicity 1)  2 Sb 2.48
4 Sb 0.6848 0.0000 0.3696 (multiplicity 1)  2 Cu 2.48

---

[18]
Here is crystalline YLuAlRh at its relaxed geometry from the Alexandria database. Energies are from PBE.

a b c (Å): 6.9931 6.9931 6.9931
angles (deg): 90.00 90.00 90.00
Last column: nearest neighbours and their distance in Å.
Space group F-43m (No. 216)
Unique sites:
1 Y 0.0000 0.0000 0.0000 (multiplicity 4)  4 Rh 3.03, 4 Al 3.03
2 Lu 0.0000 0.0000 0.5000 (multiplicity 4)  4 Al 3.03, 4 Rh 3.03
3 Al 0.2500 0.2500 0.7500 (multiplicity 4)  4 Y 3.03, 4 Lu 3.03
4 Rh 0.2500 0.2500 0.2500 (multiplicity 4)  4 Y 3.03, 4 Lu 3.03

---

[19]
Here is crystalline Nd8MgIn5 at its relaxed geometry from the Alexandria database. Energies are from PBE.

a b c (Å): 9.6075 9.6075 9.6630
angles (deg): 90.00 90.00 90.00
Last column: nearest neighbours and their distance in Å.
Space group I-4 (No. 82)
Unique sites:
1 Nd 0.0740 0.1659 0.2040 (multiplicity 8)  5 In 3.25-3.43, 1 Mg 3.32, 2 Nd 3.49-3.60
2 Nd 0.0808 0.3199 0.5609 (multiplicity 8)  5 In 3.22-3.43, 1 Mg 3.55, 1 Nd 3.60
3 Mg 0.0000 0.5000 0.2500 (multiplicity 2)  8 Nd 3.32-3.55
4 In 0.0000 0.0000 0.5000 (multiplicity 2)  8 Nd 3.22-3.35
5 In 0.1290 0.2505 0.8830 (multiplicity 8)  8 Nd 3.22-3.43

---

[20]
Here is crystalline Ba8Pt3I4Cl at its relaxed geometry from the Alexandria database. Energies are from PBE.

a b c (Å): 9.3475 9.3475 26.0196
angles (deg): 90.00 90.00 120.00
Last column: nearest neighbours and their distance in Å.
Space group R-3m (No. 166, hexagonal axes)
Unique sites:
1 Ba 0.0000 0.0000 0.2336 (multiplicity 6)  3 Pt 3.21
2 Ba 0.0144 0.5072 0.7661 (multiplicity 18)  2 Pt 3.17, 1 Cl 3.31
3 Pt 0.0000 0.5000 0.5000 (multiplicity 9)  6 Ba 3.17-3.21
4 I 0.0000 0.0000 0.0000 (multiplicity 3)  6 Ba 3.66
5 I 0.0000 0.5000 0.0000 (multiplicity 9)  6 Ba 3.74-3.78
6 Cl 0.0000 0.0000 0.5000 (multiplicity 3)  6 Ba 3.31

---

In the order shown, the computed DFT total energy values come out to -6.908 -7.291 -5.491 -5.621 -8.354 -7.456 -4.814 -3.508 -4.286 -3.460 -5.081 -3.602 -5.079 -4.799 -2.058 -3.878 -2.857 -6.116 -4.077 -3.861 eV/atom.
In the order shown, the computed M_tot values come out to 0.0 4.8 0.0 0.4 1.4 0.0 0.0 0.0 0.0 0.0 0.0 5.0 0.0 0.0 6.0 0.0 0.0 0.0 0.0 0.0 μB per formula unit.